# K2HfGaS5

An optimized crystal structure of K2HfGaS5 (GGA-PBE, Alexandria).

a = 9.709 Å, b = 9.709 Å, c = 13.835 Å
α = 90.00°, β = 90.00°, γ = 158.25°
Fractional coordinates of all 18 atoms:
1 K 0.125 0.875 0.500
2 K 0.134 0.866 0.131
3 K 0.866 0.134 0.631
4 K 0.875 0.125 0.000
5 Hf 0.209 0.791 0.839
6 Hf 0.791 0.209 0.339
7 Ga 0.433 0.567 0.244
8 Ga 0.567 0.433 0.744
9 S 0.062 0.938 0.846
10 S 0.297 0.703 0.461
11 S 0.311 0.689 0.206
12 S 0.335 0.665 0.819
13 S 0.494 0.506 0.107
14 S 0.506 0.494 0.607
15 S 0.665 0.335 0.319
16 S 0.689 0.311 0.706
17 S 0.703 0.297 0.961
18 S 0.938 0.062 0.346

Results
The calculation puts the electronic total energy at -91.7 eV for the cell shown. The energy relative to the elements, uncorrected is -1.12 eV/atom. The size of the total moment is 0.72 μB/f.u.

=====

# KMnNi

An optimized crystal structure of KMnNi (GGA-PBE, Alexandria).

a = 3.822 Å, b = 3.824 Å, c = 11.538 Å
α = 95.88°, β = 92.29°, γ = 119.91°
Fractional coordinates of all 6 atoms:
1 K 0.000 0.000 0.000
2 K 0.224 0.302 0.614
3 Mn 0.113 0.151 0.307
4 Mn 0.446 0.818 0.307
5 Ni 0.741 0.433 0.202
6 Ni 0.818 0.536 0.413

Results
Its calculated formation energy is 426 meV per atom. The calculation puts the electronic total energy at -29.5 eV for the cell shown. The calculation puts the relative energy among the computed polymorphs at 64 meV/atom. The size of the total moment is 0.00 μB/f.u.

=====

# SrNiBr3

An optimized crystal structure of SrNiBr3 (GGA-PBE, Alexandria).

a = 5.906 Å, b = 5.906 Å, c = 5.906 Å
α = 90.00°, β = 90.00°, γ = 90.00°
Fractional coordinates of all 5 atoms:
1 Sr 0.000 0.000 0.000
2 Ni 0.500 0.500 0.500
3 Br 0.000 0.000 0.500
4 Br 0.000 0.500 0.000
5 Br 0.500 0.000 0.000

Results
The calculation puts the electronic total energy at -14.7 eV for the cell shown. The energy relative to the elements, uncorrected is -0.45 eV/atom. The calculation puts the relative energy among the computed polymorphs at 575 meV/atom. The size of the total moment is 1.00 μB/f.u.

=====

# RbLiHg2I

An optimized crystal structure of RbLiHg2I (GGA-PBE, Alexandria).

a = 5.444 Å, b = 5.444 Å, c = 5.886 Å
α = 90.00°, β = 90.00°, γ = 90.00°
Fractional coordinates of all 5 atoms:
1 Rb 0.000 0.000 0.000
2 Li 0.500 0.500 0.500
3 Hg 0.000 0.500 0.500
4 Hg 0.500 0.000 0.500
5 I 0.500 0.500 0.000

Results
The calculation puts the electronic total energy at -7.8 eV for the cell shown. The energy relative to the elements, uncorrected is -0.54 eV/atom. The size of the total moment is 0.00 μB/f.u.

=====

# Al2Cu2Au

An optimized crystal structure of Al2Cu2Au (GGA-PBE, Alexandria).

a = 6.812 Å, b = 6.812 Å, c = 3.154 Å
α = 90.00°, β = 90.00°, γ = 90.00°
Fractional coordinates of all 10 atoms:
1 Al 0.165 0.335 0.000
2 Al 0.335 0.835 0.000
3 Al 0.665 0.165 0.000
4 Al 0.835 0.665 0.000
5 Cu 0.130 0.630 0.500
6 Cu 0.370 0.130 0.500
7 Cu 0.630 0.870 0.500
8 Cu 0.870 0.370 0.500
9 Au 0.000 0.000 0.500
10 Au 0.500 0.500 0.500

Results
Its calculated formation energy is -152 meV per atom. The calculation puts the electronic total energy at -39.4 eV for the cell shown. The calculation puts the relative energy among the computed polymorphs at 56 meV/atom. The size of the total moment is 0.00 μB/f.u.

=====

# AcDy2Th

An optimized crystal structure of AcDy2Th (GGA-PBE, Alexandria).

a = 8.216 Å, b = 8.216 Å, c = 8.216 Å
α = 90.00°, β = 90.00°, γ = 90.00°
Fractional coordinates of all 16 atoms:
1 Ac 0.000 0.000 0.000
2 Ac 0.000 0.500 0.500
3 Ac 0.500 0.000 0.500
4 Ac 0.500 0.500 0.000
5 Dy 0.250 0.250 0.250
6 Dy 0.250 0.250 0.750
7 Dy 0.250 0.750 0.250
8 Dy 0.250 0.750 0.750
9 Dy 0.750 0.250 0.250
10 Dy 0.750 0.250 0.750
11 Dy 0.750 0.750 0.250
12 Dy 0.750 0.750 0.750
13 Th 0.000 0.000 0.500
14 Th 0.000 0.500 0.000
15 Th 0.500 0.000 0.000
16 Th 0.500 0.500 0.500

Results
Its calculated formation energy is 145 meV per atom. The calculation puts the electronic total energy at -80.6 eV for the cell shown. The calculation puts the relative energy among the computed polymorphs at 105 meV/atom. The size of the total moment is 0.00 μB/f.u.